No. 1
DFT (GGA-PBE) results for crystalline Co2NiAg at its relaxed geometry.

Summary:
* E above lowest polymorph: 0.34 eV/f.u.
* raw total energy: -5.417 eV per atom
* symmetry: Cm (8)

Unit cell a=4.4516 b=4.4516 c=4.6697 alpha=80.27 beta=80.27 gamma=34.16
With the nearest neighbours (Å) after each atom.
Fractional positions:
1 Ni 0.4913 0.4913 0.5259  5 Co 2.45-2.62, 3 Ag 2.60-2.68, 2 Ni 2.61
2 Ag 0.2495 0.2495 0.2547  3 Ni 2.60-2.68, 2 Ag 2.61, 7 Co 2.65-2.72
3 Co 0.7503 0.7503 0.7571  5 Co 2.48-2.61, 3 Ni 2.51-2.62, 4 Ag 2.67-2.69
4 Co 0.0090 0.0090 0.9623  2 Ni 2.45, 5 Co 2.48-2.61, 3 Ag 2.65-2.72

---

No. 2
DFT (GGA-PBE) results for crystalline CoNiAg2 at its relaxed geometry.

Summary:
* E above lowest polymorph: 0.86 eV/f.u.
* raw total energy: -4.224 eV per atom
* symmetry: Cmmm (65)

Unit cell a=2.6821 b=2.6821 c=9.1530 alpha=90.00 beta=90.00 gamma=116.45
With the nearest neighbours (Å) after each atom.
Fractional positions:
1 Ni 0.5000 0.5000 0.7500  4 Ag 2.67, 6 Ni 2.68-2.82
2 Ag 0.0000 0.0000 0.5031  2 Ni 2.67, 6 Ag 2.68-2.82, 2 Co 2.71
3 Ag 0.0000 0.0000 0.9969  2 Ni 2.67, 6 Ag 2.68-2.82, 2 Co 2.71
4 Co 0.5000 0.5000 0.2500  6 Co 2.68-2.82, 4 Ag 2.71

---

No. 3
DFT (GGA-PBE) results for crystalline Co2NiAg at its relaxed geometry.

Summary:
* E above lowest polymorph: 0.99 eV/f.u.
* raw total energy: -5.256 eV per atom
* symmetry: P4/mmm (123)

Unit cell a=4.3510 b=4.3510 c=2.7275 alpha=90.00 beta=90.00 gamma=90.00
With the nearest neighbours (Å) after each atom.
Fractional positions:
1 Ni 0.5000 0.0000 0.5000  8 Co 2.57, 2 Ni 2.73
2 Co 0.5000 0.5000 0.0000  4 Ni 2.57, 4 Ag 2.57, 2 Co 2.73
3 Co 0.0000 0.0000 0.0000  4 Ni 2.57, 4 Ag 2.57, 2 Co 2.73
4 Ag 0.0000 0.5000 0.5000  8 Co 2.57, 2 Ag 2.73